Below is KAlZn2O after structural relaxation, with properties calculated at the PBE-GGA level.

Symmetry ... No. 123
E ... -14.29 eV per cell
DOS at the Fermi energy ... 2.9 states/eV/f.u.
Total moment ... 0.000 μB per cell
Formation energy without anion corrections ... -0.388 eV/atom

a = 5.579 Å, b = 3.579 Å, c = 5.579 Å
α = 90.00°, β = 90.00°, γ = 90.00°
Atoms (fractional coordinates):
K  0.500  0.500  0.500
Al  0.000  0.000  0.000
Zn  0.500  0.000  0.000
O  0.000  0.500  0.000
Zn  0.000  0.000  0.500

***

Below is KAlZnO3 after structural relaxation, with properties calculated at the PBE-GGA level.

Symmetry ... No. 63
E ... -66.82 eV per cell
DOS at the Fermi energy ... 0.0 states/eV/f.u.
Total moment ... 0.000 μB per cell
Formation energy without anion corrections ... -2.070 eV/atom

a = 5.333 Å, b = 5.422 Å, c = 5.809 Å
α = 117.82°, β = 90.00°, γ = 90.00°
Atoms (fractional coordinates):
Zn  0.750  0.579  0.159
K  0.750  0.258  0.517
Zn  0.250  0.421  0.841
O  0.000  0.770  0.000
O  0.250  0.231  0.463
Al  0.750  0.940  0.880
O  0.500  0.770  0.000
K  0.250  0.742  0.483
O  0.000  0.230  0.000
O  0.750  0.769  0.537
Al  0.250  0.060  0.120
O  0.500  0.230  0.000

***

Below is KZrAlO4 after structural relaxation, with properties calculated at the PBE-GGA level.

Symmetry ... No. 11
E ... -105.19 eV per cell
DOS at the Fermi energy ... 0.0 states/eV/f.u.
Total moment ... 0.000 μB per cell
Formation energy without anion corrections ... -2.768 eV/atom

a = 5.450 Å, b = 5.745 Å, c = 7.798 Å
α = 90.00°, β = 117.24°, γ = 90.00°
Atoms (fractional coordinates):
K  0.558  0.750  0.911
O  0.007  0.477  0.671
O  0.507  0.750  0.569
Al  0.225  0.750  0.334
Zr  0.199  0.250  0.527
O  0.493  0.250  0.431
K  0.442  0.250  0.089
Zr  0.801  0.750  0.473
O  0.007  0.023  0.671
Al  0.775  0.250  0.666
O  0.993  0.977  0.329
O  0.427  0.750  0.210
O  0.573  0.250  0.790
O  0.993  0.523  0.329

***

Below is K3ZrAl2O6 after structural relaxation, with properties calculated at the PBE-GGA level.

Symmetry ... No. 164
E ... -76.95 eV per cell
DOS at the Fermi energy ... 1.2 states/eV/f.u.
Total moment ... 0.829 μB per cell
Formation energy without anion corrections ... -2.323 eV/atom

a = 5.890 Å, b = 5.890 Å, c = 7.263 Å
α = 90.00°, β = 90.00°, γ = 120.00°
Atoms (fractional coordinates):
Al  0.333  0.667  0.283
Zr  0.000  0.000  0.500
Al  0.667  0.333  0.717
O  0.334  0.167  0.677
O  0.833  0.167  0.677
O  0.167  0.334  0.323
O  0.167  0.833  0.323
K  0.000  0.000  0.000
O  0.666  0.833  0.323
K  0.333  0.667  0.717
K  0.667  0.333  0.283
O  0.833  0.666  0.677